(1)
TiNb2Ru (PBE-GGA, optimized geometry); uncorrected energy = -72.3 eV/cell; symmetry = I-42d (122); DFT formation energy = 0.2856 eV/atom; Fermi-level density of states = 1.06 states/eV per atom; total moment = 0.000 μB per formula unit; V = 144 Å³/cell
1.0
-6.6623 0.8848 -2.9142
-3.0214 -1.0398 6.5917
-4.7015 2.5636 2.3198
Ru Nb Ti
2 4 2
Cartesian
-8.1028 1.6855 0.6222 Ru
0.0000 0.0000 0.0000 Ru
-5.8963 1.0878 -0.4959 Nb
-3.7172 0.0778 4.4140 Nb
-7.0762 1.8926 2.9415 Nb
-12.0807 1.7591 5.1351 Nb
-6.2824 0.7231 5.3751 Ti
-4.8419 -0.0775 1.8388 Ti

---

(2)
TiNb3Ru4 (PBE-GGA, optimized geometry); uncorrected energy = -77.9 eV/cell; symmetry = P4/mmm (123); DFT formation energy = -0.3427 eV/atom; Fermi-level density of states = 0.83 states/eV per atom; total moment = 0.000 μB per formula unit; V = 126 Å³/cell
1.0
-1.6638 1.9250 -1.7103
-2.2894 -2.0381 -0.0668
-5.1394 5.4097 11.0887
Ru Ti Nb
4 1 3
Cartesian
-1.9110 2.0115 4.1231 Ru
-0.5869 0.6177 1.2662 Ru
-3.2284 3.3983 6.9656 Ru
-4.5525 4.7920 9.8225 Ru
-1.9766 -0.0565 -0.8885 Ti
-5.8681 4.0397 7.5076 Nb
-3.2245 1.2571 1.8040 Nb
-4.5463 2.6484 4.6558 Nb

---

(3)
Ti4NbRu5 (PBE-GGA, optimized geometry); uncorrected energy = -94.6 eV/cell; symmetry = P4/mmm (123); DFT formation energy = -0.6547 eV/atom; Fermi-level density of states = 0.41 states/eV per atom; total moment = 0.000 μB per formula unit; V = 149 Å³/cell
1.0
3.0845 0.0000 0.0000
0.0000 3.0845 0.0000
0.0000 0.0000 15.6576
Ru Ti Nb
5 4 1
Cartesian
1.5422 1.5422 13.9560 Ru
1.5422 1.5422 4.7486 Ru
1.5422 1.5422 10.9090 Ru
1.5422 1.5422 1.7016 Ru
1.5422 1.5422 7.8288 Ru
0.0000 0.0000 9.3661 Ti
0.0000 0.0000 12.4461 Ti
0.0000 0.0000 6.2914 Ti
0.0000 0.0000 3.2114 Ti
0.0000 0.0000 0.0000 Nb

---

(4)
Ti6Nb2Ru (PBE-GGA, optimized geometry); uncorrected energy = -72.8 eV/cell; symmetry = C2/m (12); DFT formation energy = 0.4409 eV/atom; Fermi-level density of states = 1.12 states/eV per atom; total moment = 0.000 μB per formula unit; V = 175 Å³/cell
1.0
-3.6594 -0.6197 2.4299
0.3326 -5.9969 -1.0285
5.3082 2.6028 4.5912
Ti Ru Nb
6 1 2
Cartesian
1.2229 -1.7202 1.4056 Ti
-1.5798 -4.8168 0.4420 Ti
-1.7471 -1.7997 0.9594 Ti
1.3892 -4.7205 0.8911 Ti
0.7585 -2.2935 4.5870 Ti
0.5921 0.7068 5.1016 Ti
0.0000 0.0000 0.0000 Ru
-0.4321 -3.5480 2.4969 Nb
2.4135 -0.4657 3.4957 Nb

---

(5)
TiNbRu (PBE-GGA, optimized geometry); uncorrected energy = -113.5 eV/cell; symmetry = C2/m (12); DFT formation energy = -0.3776 eV/atom; Fermi-level density of states = 0.58 states/eV per atom; total moment = 0.000 μB per formula unit; V = 193 Å³/cell
1.0
-5.2394 -1.2333 0.0740
0.8685 -3.5372 2.5402
4.2424 5.7339 6.5340
Ti Ru Nb
4 4 4
Cartesian
0.0600 2.0735 6.7482 Ti
-0.1885 -1.1101 2.4000 Ti
-2.4954 0.9752 2.2111 Ti
1.4984 3.5255 4.3969 Ti
0.0664 1.5614 2.1515 Ru
-2.7503 -1.6963 2.4596 Ru
-1.0634 2.9393 4.4565 Ru
2.6218 2.6597 6.6886 Ru
1.2681 0.7373 4.4744 Nb
-3.9521 -0.8722 0.1367 Nb
-1.3966 0.2262 4.6738 Nb
2.9550 5.3728 6.4713 Nb

---

(6)
Ti2Nb8Ru (PBE-GGA, optimized geometry); uncorrected energy = -100.6 eV/cell; symmetry = C2/m (12); DFT formation energy = 0.4572 eV/atom; Fermi-level density of states = 1.13 states/eV per atom; total moment = 0.000 μB per formula unit; V = 220 Å³/cell
1.0
-0.3506 -1.3566 -4.6662
6.5923 -0.6001 -2.4452
0.9064 -6.9966 -0.1583
Nb Ti Ru
8 2 1
Cartesian
4.0767 -5.3185 -4.7397 Nb
2.9195 -6.3092 -1.7229 Nb
1.7048 -3.2840 -4.9468 Nb
3.0714 -3.6348 -2.5301 Nb
5.7911 -3.0788 -2.8779 Nb
4.2286 -2.6441 -5.5468 Nb
5.4433 -5.6692 -2.3230 Nb
1.3570 -5.8745 -4.3919 Nb
0.8220 -1.6738 -2.6380 Ti
6.3261 -7.2794 -4.6317 Ti
0.0000 0.0000 0.0000 Ru